Material: KRb2TaNb
Method: DFT, GGA-PBE
State: relaxed

abc: 5.4619 5.8317 5.4619
angles: 90.00 90.00 90.00
Fractional positions:
Rb 0.0000 0.0000 0.5000
Rb 0.5000 0.0000 0.0000
Nb 0.0000 0.5000 0.0000
K 0.0000 0.0000 0.0000
Ta 0.5000 0.5000 0.5000

Calculated values
The value obtained for the formation energy from the elements is 2.64 eV per atom.

***

Material: ThBe2Ir
Method: DFT, GGA-PBE
State: relaxed

abc: 3.8997 3.8997 5.4698
angles: 69.12 69.12 60.00
Fractional positions:
Be 0.8022 0.8022 0.5933
Be 0.1978 0.1978 0.4067
Ir 0.5000 0.5000 0.5000
Th 0.0000 0.0000 0.0000

Calculated values
The value obtained for the formation energy from the elements is -0.48 eV per atom.

***

Material: Rb3Cd6Au2
Method: DFT, GGA-PBE
State: relaxed

abc: 4.6432 4.6432 17.7572
angles: 97.51 97.51 90.00
Fractional positions:
Rb 0.8259 0.8259 0.6519
Rb 0.0000 0.0000 0.0000
Rb 0.1741 0.1741 0.3481
Cd 0.9119 0.4119 0.8238
Cd 0.4119 0.9119 0.8238
Cd 0.5881 0.0881 0.1762
Cd 0.0881 0.5881 0.1762
Cd 0.7252 0.7252 0.4505
Cd 0.2748 0.2748 0.5495
Au 0.3607 0.3607 0.7215
Au 0.6393 0.6393 0.2785

Calculated values
The value obtained for the formation energy from the elements is -0.08 eV per atom.

***

Material: InFe2Ge
Method: DFT, GGA-PBE
State: relaxed

abc: 6.9757 6.9757 5.6412
angles: 51.81 51.81 90.00
Each line ends with the local moment (μB).
Fractional positions:
In 0.7500 0.2500 0.5000  -0.07
In 0.0000 0.0000 0.0000  -0.06
Ge 0.2500 0.7500 0.5000  -0.10
Ge 0.5000 0.5000 0.0000  -0.10
Fe 0.8750 0.8378 0.7500  2.34
Fe 0.1622 0.6250 0.2500  2.31
Fe 0.3750 0.4122 0.7500  2.30
Fe 0.5878 0.1250 0.2500  2.28

Calculated values
The value obtained for the formation energy from the elements is 0.48 eV per atom. The value obtained for the energy above the most stable polymorph in this dataset is 69 kJ/mol of formula units.

***

Material: PuPdS
Method: DFT, GGA-PBE
State: relaxed

abc: 3.9059 3.7358 8.8064
angles: 77.75 90.00 90.00
Each line ends with the local moment (μB).
Fractional positions:
S 0.7500 0.3108 0.3784  -0.13
S 0.2500 0.6892 0.6216  -0.13
Pu 0.2500 0.8565 0.2869  5.14
Pu 0.7500 0.1435 0.7131  5.14
Pd 0.2500 0.5507 0.8986  -0.13
Pd 0.7500 0.4493 0.1014  -0.13

Calculated values
The value obtained for the energy above the most stable polymorph in this dataset is 0 kJ/mol of formula units. For the formation energy without anion corrections, the calculation gives -0.976 eV/atom.

***

Material: Ho2Er5Te4
Method: DFT, GGA-PBE
State: relaxed

abc: 4.0128 7.2094 14.4994
angles: 118.19 97.95 90.00
Each line ends with the local moment (μB).
Fractional positions:
Te 0.0493 0.8313 0.0985  0.00
Te 0.9507 0.1687 0.9015  0.00
Te 0.4041 0.5341 0.8081  0.00
Te 0.5959 0.4659 0.1919  0.00
Er 0.8615 0.7296 0.7229  0.06
Er 0.1385 0.2704 0.2771  0.06
Er 0.1601 0.8252 0.3201  0.13
Er 0.5000 0.0000 0.0000  0.01
Er 0.8399 0.1748 0.6799  0.13
Ho 0.7343 0.6620 0.4686  0.09
Ho 0.2657 0.3380 0.5314  0.09

Calculated values
For the formation energy without anion corrections, the calculation gives -0.623 eV/atom.